Density functional theory data (PBE+U) for SiMoO after structural relaxation.

Geometry as POSCAR:
```
SiMoO
1.0
2.716 0.000 0.000
-1.358 2.362 0.000
0.000 0.000 14.238
Mo O Si
2 2 2
direct
0.688 0.376 0.651
0.688 0.376 0.349
0.200 0.401 0.923
0.200 0.401 0.077
0.534 0.069 0.000
0.355 0.710 0.500
```

Total DFT energy (no corrections), eV per atom: -5.7602